# 1
## BaCu5 (PBE)

Data for a geometry-optimized BaCu5 structure.

Values from the calculation:
* total energy: -21.9 eV/f.u.
* ΔH_f (0 K): 0.08 eV per atom
* symmetry: C2/m, No. 12

Unit cell a=4.3668 b=4.3668 c=7.1281 alpha=96.06 beta=96.06 gamma=56.23
Last column: nearest neighbours and their distance in Å.
Fractional positions:
1 Ba 0.0000 0.0000 0.0000  14 Cu 3.36-3.63
2 Cu 0.0000 0.0000 0.5000  6 Cu 2.49-2.54
3 Cu 0.3083 0.3083 0.6524  5 Cu 2.41-2.49
4 Cu 0.3694 0.3694 0.3281  6 Cu 2.41-2.54
5 Cu 0.6306 0.6306 0.6719  6 Cu 2.41-2.54
6 Cu 0.6917 0.6917 0.3476  5 Cu 2.41-2.49



# 2
## BaDyCu (PBE)

Data for a geometry-optimized BaDyCu structure.

Values from the calculation:
* total energy: -10.5 eV/f.u.
* ΔH_f (0 K): 0.02 eV per atom
* excess energy over the best structure of this formula in the dataset: 0.000 eV per formula unit
* symmetry: I4mm, No. 107

Unit cell a=7.2638 b=7.2638 c=7.2638 alpha=150.20 beta=150.20 gamma=42.65
Last column: nearest neighbours and their distance in Å.
Fractional positions:
1 Ba 0.0000 0.0000 0.0000  4 Cu 3.50, 1 Dy 3.54, 4 Ba 3.74
2 Dy 0.2614 0.2614 0.0000  4 Cu 2.92
3 Cu 0.6702 0.6702 0.0000  4 Dy 2.92



# 3
## BaDyCu10 (PBE)

Data for a geometry-optimized BaDyCu10 structure.

Values from the calculation:
* total energy: -48.5 eV/f.u.
* ΔH_f (0 K): -0.08 eV per atom
* symmetry: Pmmm, No. 47

Unit cell a=4.0343 b=5.2636 c=9.1120 alpha=90.00 beta=90.00 gamma=90.00
Last column: nearest neighbours and their distance in Å.
Fractional positions:
1 Ba 0.0000 0.0000 0.0000  18 Cu 3.11-3.45
2 Dy 0.0000 0.5000 0.5000  14 Cu 2.89-3.18
3 Cu 0.0000 0.0000 0.3450  6 Cu 2.46-2.54
4 Cu 0.0000 0.0000 0.6550  6 Cu 2.46-2.54
5 Cu 0.0000 0.5000 0.1829  6 Cu 2.50-2.62
6 Cu 0.0000 0.5000 0.8171  6 Cu 2.50-2.62
7 Cu 0.5000 0.0000 0.5000  8 Cu 2.46-2.52
8 Cu 0.5000 0.2609 0.2681  8 Cu 2.50-2.75
9 Cu 0.5000 0.2609 0.7319  8 Cu 2.50-2.75
10 Cu 0.5000 0.5000 0.0000  8 Cu 2.62-2.75
11 Cu 0.5000 0.7391 0.2681  8 Cu 2.50-2.75
12 Cu 0.5000 0.7391 0.7319  8 Cu 2.50-2.75



# 4
## BaDyCu (PBE)

Data for a geometry-optimized BaDyCu structure.

Values from the calculation:
* total energy: -10.4 eV/f.u.
* ΔH_f (0 K): 0.07 eV per atom
* excess energy over the best structure of this formula in the dataset: 0.141 eV per formula unit
* symmetry: Amm2, No. 38

Unit cell a=13.6026 b=3.7181 c=3.7181 alpha=90.18 beta=90.00 gamma=90.00
Last column: nearest neighbours and their distance in Å.
Fractional positions:
1 Ba 0.1473 0.0000 0.0000  4 Cu 3.30-3.31
2 Ba 0.8527 0.0000 0.0000  4 Cu 3.30-3.31
3 Dy 0.3856 0.5011 0.5011  4 Cu 3.05-3.06, 1 Dy 3.11
4 Dy 0.6144 0.5011 0.5011  4 Cu 3.05-3.06, 1 Dy 3.11
5 Cu 0.0000 0.4996 0.4996  8 Ba 3.30-3.31
6 Cu 0.5000 0.0012 0.0012  8 Dy 3.05-3.06



# 5
## Ba2DyCu3F12 (PBE)

Data for a geometry-optimized Ba2DyCu3F12 structure.

Values from the calculation:
* total energy: -92.8 eV/f.u.
* symmetry: R-3m, No. 166
* formation energy from raw total energies: -2.756 eV/atom

Unit cell a=7.7613 b=7.7613 c=7.7613 alpha=52.72 beta=52.72 gamma=52.72
Last column: nearest neighbours and their distance in Å.
Fractional positions:
1 Ba 0.1153 0.1153 0.1153  6 F 2.61-2.82
2 Ba 0.8847 0.8847 0.8847  6 F 2.61-2.82
3 Dy 0.5000 0.5000 0.5000  6 F 2.27
4 Cu 0.0000 0.5000 0.5000  4 F 1.97
5 Cu 0.5000 0.0000 0.5000  4 F 1.97
6 Cu 0.5000 0.5000 0.0000  4 F 1.97
7 F 0.1049 0.6375 0.6375  1 Dy 2.27, 1 Cu 2.53
8 F 0.2270 0.2270 0.6474  2 Cu 1.97
9 F 0.2270 0.6474 0.2270  2 Cu 1.97
10 F 0.3526 0.7730 0.7730  2 Cu 1.97
11 F 0.3625 0.3625 0.8951  1 Dy 2.27, 1 Cu 2.53
12 F 0.3625 0.8951 0.3625  1 Dy 2.27, 1 Cu 2.53
13 F 0.6375 0.1049 0.6375  1 Dy 2.27, 1 Cu 2.53
14 F 0.6375 0.6375 0.1049  1 Dy 2.27, 1 Cu 2.53
15 F 0.6474 0.2270 0.2270  2 Cu 1.97
16 F 0.7730 0.3526 0.7730  2 Cu 1.97
17 F 0.7730 0.7730 0.3526  2 Cu 1.97
18 F 0.8951 0.3625 0.3625  1 Dy 2.27, 1 Cu 2.53